This record from Alexandria via LeMat-Bulk describes an optimized crystal structure of SrCd2Os. The functional is PBE.

Summary:
The value obtained for the mass density is 9.16 g/cm³. The formation energy is 444 meV/atom.

Cell and atoms, written as CIF:
```
data_SrCd2Os
_chemical_formula_sum 'Sr1 Cd2 Os1'
_space_group_name_H-M_alt 'P 4/m m m'
_space_group_IT_number 123
_space_group_name_Hall '-P 4 2'
_cell_length_a 3.598
_cell_length_b 3.598
_cell_length_c 7.036
_cell_angle_alpha 90.00
_cell_angle_beta 90.00
_cell_angle_gamma 90.00
loop_
_atom_site_label
_atom_site_type_symbol
_atom_site_fract_x
_atom_site_fract_y
_atom_site_fract_z
_atom_site_occupancy
Sr1 Sr 0.000 0.000 0.000 1
Cd1 Cd 0.500 0.500 0.303 1
Os1 Os 0.000 0.000 0.500 1
```